Entry 1:
# TcPtPb2 GGA-PBE optimized geometry
# - size of the total moment (μB per atom) = 0.000
# - energy relative to the lowest polymorph listed for this composition (meV per atom) = 0
# - energy of formation from the pure elements (eV per atom) = 0.228
# - D(E_F) (states/eV/atom) = 1.3068
data_TcPtPb2
_symmetry_space_group_name_H-M 'P 4 m m'
_symmetry_Int_Tables_number 99
_symmetry_space_group_name_Hall 'P 4 -2'
_cell_length_a 3.156
_cell_length_b 3.156
_cell_length_c 9.087
_cell_angle_alpha 90.00
_cell_angle_beta 90.00
_cell_angle_gamma 90.00
loop_
_atom_site_label
_atom_site_fract_x
_atom_site_fract_y
_atom_site_fract_z
_atom_site_occupancy
Tc1 0.000 0.000 0.000 1
Pt1 0.500 0.500 0.840 1
Pb1 0.000 0.000 0.604 1
Pb2 0.500 0.500 0.234 1



Entry 2:
# Tc2PtPb GGA-PBE optimized geometry
# - size of the total moment (μB per atom) = 0.000
# - energy relative to the lowest polymorph listed for this composition (meV per atom) = 68
# - energy of formation from the pure elements (eV per atom) = 0.310
# - D(E_F) (states/eV/atom) = 1.0759
data_Tc2PtPb
_symmetry_space_group_name_H-M 'P 1 m 1'
_symmetry_Int_Tables_number 6
_symmetry_space_group_name_Hall 'P -2y'
_cell_length_a 2.971
_cell_length_b 3.845
_cell_length_c 6.154
_cell_angle_alpha 90.00
_cell_angle_beta 93.93
_cell_angle_gamma 90.00
loop_
_atom_site_label
_atom_site_fract_x
_atom_site_fract_y
_atom_site_fract_z
_atom_site_occupancy
Tc1 0.000 0.000 0.000 1
Tc2 0.450 0.500 0.176 1
Pt1 0.445 0.500 0.745 1
Pb1 0.949 0.000 0.478 1



Entry 3:
# Tc2PtPb GGA-PBE optimized geometry
# - size of the total moment (μB per atom) = 0.000
# - energy relative to the lowest polymorph listed for this composition (meV per atom) = 205
# - energy of formation from the pure elements (eV per atom) = 0.447
# - D(E_F) (states/eV/atom) = 1.1927
data_Tc2PtPb
_symmetry_space_group_name_H-M 'P m m m'
_symmetry_Int_Tables_number 47
_symmetry_space_group_name_Hall '-P 2 2'
_cell_length_a 2.903
_cell_length_b 4.184
_cell_length_c 6.029
_cell_angle_alpha 90.00
_cell_angle_beta 90.00
_cell_angle_gamma 90.00
loop_
_atom_site_label
_atom_site_fract_x
_atom_site_fract_y
_atom_site_fract_z
_atom_site_occupancy
Tc1 0.000 0.000 0.190 1
Pt1 0.500 0.500 0.000 1
Pb1 0.500 0.500 0.500 1



- Which of these has the highest D(E_F)?
  TcPtPb2



- The highest energy relative to the lowest polymorph listed for this composition belongs to which entry?
  number 3



- Look up the D(E_F) of the second one.
  1.0759 states/eV/atom